[1]
ScNbO2 after structural relaxation, computed with PBE-GGA.

Cell lengths 5.8519, 5.8519, 5.8519 Å; angles 129.88, 129.88, 73.59 degrees
Element x y z (fractional)
Sc 0.0000 0.0000 0.0000
Sc 0.7500 0.2500 0.5000
Nb 0.2500 0.7500 0.5000
Nb 0.5000 0.5000 0.0000
O 0.1061 0.6250 0.9811
O 0.3750 0.3561 0.4811
O 0.6439 0.1250 0.0189
O 0.8750 0.8939 0.5189

Excess energy over the best structure of this formula in the dataset, eV/atom: 0.411
Raw total energy, eV per atom: -8.537

=====

[2]
ScNbO2 after structural relaxation, computed with PBE-GGA.

Cell lengths 6.9548, 6.9548, 6.9548 Å; angles 25.13, 25.13, 25.13 degrees
Element x y z (fractional)
Sc 0.0000 0.0000 0.0000
Nb 0.5000 0.5000 0.5000
O 0.1015 0.1015 0.1015
O 0.8985 0.8985 0.8985

Excess energy over the best structure of this formula in the dataset, eV/atom: 0.469
Raw total energy, eV per atom: -8.479

=====

[3]
ScNbO2 after structural relaxation, computed with PBE-GGA.

Cell lengths 6.5201, 6.5201, 6.5201 Å; angles 27.90, 27.90, 27.90 degrees
Element x y z (fractional)
Sc 0.0000 0.0000 0.0000
Nb 0.5000 0.5000 0.5000
O 0.3898 0.3898 0.3898
O 0.6102 0.6102 0.6102

Excess energy over the best structure of this formula in the dataset, eV/atom: 0.000
Raw total energy, eV per atom: -8.948

=====

[4]
Sc2NbO after structural relaxation, computed with PBE-GGA.

Cell lengths 2.8556, 2.8556, 7.6646 Å; angles 90.00, 90.00, 90.00 degrees
Element x y z (fractional)
Sc 0.0000 0.0000 0.1870
Sc 0.0000 0.0000 0.8130
Nb 0.5000 0.5000 0.5000
O 0.5000 0.5000 0.0000

Raw total energy, eV per atom: -7.943

=====

One value per record, in order, for formation energy (no corrections): -1.957, -1.899, -2.369, -1.021 eV/atom.